Record 1
Crystalline GePt at its relaxed geometry. Source: Alexandria, functional PBE.

Properties
VASP energy ... -5.55 eV/atom

Geometry as POSCAR:
```
GePt
1.0
9.091 0.000 0.000
-4.545 7.873 0.000
0.000 0.000 4.147
Ge Pt
6 6
direct
0.089 0.365 0.250 Ge
0.276 0.911 0.250 Ge
0.365 0.276 0.750 Ge
0.635 0.724 0.250 Ge
0.724 0.089 0.750 Ge
0.911 0.635 0.750 Ge
0.044 0.624 0.250 Pt
0.376 0.420 0.250 Pt
0.420 0.044 0.750 Pt
0.580 0.956 0.250 Pt
0.624 0.580 0.750 Pt
0.956 0.376 0.750 Pt
```



Record 2
Crystalline GePt at its relaxed geometry. Source: Alexandria, functional PBE.

Properties
VASP energy ... -5.72 eV/atom

Geometry as POSCAR:
```
GePt
1.0
2.881 -2.438 0.000
2.881 2.438 0.000
-0.987 0.000 4.945
Ge Pt
2 2
direct
0.183 0.183 0.315 Ge
0.817 0.817 0.685 Ge
0.267 0.267 0.827 Pt
0.733 0.733 0.173 Pt
```



Record 3
Crystalline GePt at its relaxed geometry. Source: Alexandria, functional PBE.

Properties
VASP energy ... -5.52 eV/atom

Geometry as POSCAR:
```
GePt
1.0
0.000 4.522 6.406
3.374 0.000 6.406
3.374 4.522 0.000
Ge Pt
4 4
direct
0.099 0.651 0.099 Ge
0.349 0.901 0.349 Ge
0.651 0.099 0.651 Ge
0.901 0.349 0.901 Ge
0.010 0.010 0.240 Pt
0.240 0.240 0.010 Pt
0.760 0.760 0.990 Pt
0.990 0.990 0.760 Pt
```



Record 4
Crystalline GePt at its relaxed geometry. Source: Alexandria, functional PBE.

Properties
VASP energy ... -5.67 eV/atom

Geometry as POSCAR:
```
GePt
1.0
-4.289 4.289 2.422
4.289 -4.289 2.422
4.289 4.289 -2.422
Ge Pt
4 4
direct
0.118 0.618 0.737 Ge
0.382 0.118 0.500 Ge
0.618 0.882 0.500 Ge
0.882 0.382 0.263 Ge
0.174 0.326 0.500 Pt
0.326 0.826 0.151 Pt
0.674 0.174 0.849 Pt
0.826 0.674 0.500 Pt
```



Record 5
Crystalline GePt7 at its relaxed geometry. Source: Alexandria, functional PBE.

Properties
VASP energy ... -6.01 eV/atom

Geometry as POSCAR:
```
GePt7
1.0
0.000 3.972 3.972
3.972 0.000 3.972
3.972 3.972 0.000
Ge Pt
1 7
direct
0.000 0.000 0.000 Ge
0.000 0.000 0.500 Pt
0.000 0.500 0.000 Pt
0.000 0.500 0.500 Pt
0.500 0.000 0.000 Pt
0.500 0.000 0.500 Pt
0.500 0.500 0.000 Pt
0.500 0.500 0.500 Pt
```



Record 6
Crystalline GePt at its relaxed geometry. Source: Alexandria, functional PBE.

Properties
VASP energy ... -5.72 eV/atom

Geometry as POSCAR:
```
GePt
1.0
6.762 -1.908 0.000
6.762 1.908 0.000
-1.772 0.000 5.409
Ge Pt
4 4
direct
0.090 0.090 0.312 Ge
0.329 0.329 0.151 Ge
0.671 0.671 0.849 Ge
0.910 0.910 0.688 Ge
0.253 0.253 0.691 Pt
0.500 0.500 0.000 Pt
0.500 0.500 0.500 Pt
0.747 0.747 0.309 Pt
```